Record 1
Material: BaTlI2F
Method: DFT, PBE
State: optimized geometry

Geometry as CIF:
```
data_BaTlI2F
_chemical_formula_sum 'Ba1 Tl1 I2 F1'
_cell_length_a 6.8726
_cell_length_b 6.8726
_cell_length_c 4.9138
_cell_angle_alpha 90.00
_cell_angle_beta 90.00
_cell_angle_gamma 90.00
_space_group_name_H-M_alt 'P 4/m m m'
_space_group_IT_number 123
_space_group_name_Hall '-P 4 2'
loop_
_atom_site_label
_atom_site_type_symbol
_atom_site_fract_x
_atom_site_fract_y
_atom_site_fract_z
Ba1 Ba 0.0000 0.0000 0.0000
Tl1 Tl 0.5000 0.5000 0.5000
I1 I 0.0000 0.5000 0.0000
F1 F 0.0000 0.0000 0.5000
```

Properties
**Calculated density**: 4.4 g/cm3
**Calculated volume**: 46.418 A^3/atom
**Energy**: -0.13363 hartree per atom

Record 2
Material: BaInF2
Method: DFT, PBE
State: optimized geometry

Geometry as CIF:
```
data_BaInF2
_chemical_formula_sum 'Ba4 In4 F8'
_cell_length_a 7.0363
_cell_length_b 7.0363
_cell_length_c 7.0363
_cell_angle_alpha 90.00
_cell_angle_beta 90.00
_cell_angle_gamma 90.00
_space_group_name_H-M_alt 'F m -3 m'
_space_group_IT_number 225
_space_group_name_Hall '-F 4 2 3'
loop_
_atom_site_label
_atom_site_type_symbol
_atom_site_fract_x
_atom_site_fract_y
_atom_site_fract_z
Ba1 Ba 0.0000 0.0000 0.0000
In1 In 0.0000 0.0000 0.5000
F1 F 0.2500 0.2500 0.2500
```

Properties
**Calculated density**: 5.5 g/cm3
**Energy above the lowest structure with this stoichiometry**: 499 meV/atom
**Calculated volume**: 21.773 A^3/atom
**Energy**: -0.15317 hartree per atom

Record 3
Material: BaInF5
Method: DFT, PBE
State: optimized geometry

Geometry as CIF:
```
data_BaInF5
_chemical_formula_sum 'Ba4 In4 F20'
_cell_length_a 9.9698
_cell_length_b 7.2902
_cell_length_c 8.5649
_cell_angle_alpha 90.00
_cell_angle_beta 112.90
_cell_angle_gamma 90.00
_space_group_name_H-M_alt 'C 1 2/c 1'
_space_group_IT_number 15
_space_group_name_Hall '-C 2yc'
loop_
_atom_site_label
_atom_site_type_symbol
_atom_site_fract_x
_atom_site_fract_y
_atom_site_fract_z
Ba1 Ba 0.0000 0.0437 0.2500
In1 In 0.0000 0.5000 0.0000
F1 F 0.0000 0.4317 0.2500
F2 F 0.0111 0.2124 0.9742
F3 F 0.2222 0.4811 0.6064
```

Properties
**Calculated density**: 4.0 g/cm3
**Energy above the lowest structure with this stoichiometry**: 17 meV/atom
**Calculated volume**: 20.480 A^3/atom
**Energy**: -0.18817 hartree per atom

Record 4
Material: Ba2InF8
Method: DFT, PBE
State: optimized geometry

Geometry as CIF:
```
data_Ba2InF8
_chemical_formula_sum 'Ba4 In2 F16'
_cell_length_a 16.7102
_cell_length_b 4.3337
_cell_length_c 5.2252
_cell_angle_alpha 90.00
_cell_angle_beta 108.02
_cell_angle_gamma 90.00
_space_group_name_H-M_alt 'C 1 2/m 1'
_space_group_IT_number 12
_space_group_name_Hall '-C 2y'
loop_
_atom_site_label
_atom_site_type_symbol
_atom_site_fract_x
_atom_site_fract_y
_atom_site_fract_z
Ba1 Ba 0.1643 0.0000 0.1686
In1 In 0.0000 0.5000 0.5000
F1 F 0.0031 0.0000 0.2853
F2 F 0.0964 0.5000 0.8670
F3 F 0.1090 0.5000 0.3838
F4 F 0.2300 0.0000 0.7369
```

Properties
**Calculated density**: 5.0 g/cm3
**Energy above the lowest structure with this stoichiometry**: 12 meV/atom
**Calculated volume**: 16.356 A^3/atom
**Energy**: -0.18162 hartree per atom

Record 5
Material: BaInF5
Method: DFT, PBE
State: optimized geometry

Geometry as CIF:
```
data_BaInF5
_chemical_formula_sum 'Ba8 In8 F40'
_cell_length_a 7.7256
_cell_length_b 7.8528
_cell_length_c 15.8528
_cell_angle_alpha 90.00
_cell_angle_beta 95.61
_cell_angle_gamma 90.00
_space_group_name_H-M_alt 'P 1 21/c 1'
_space_group_IT_number 14
_space_group_name_Hall '-P 2ybc'
loop_
_atom_site_label
_atom_site_type_symbol
_atom_site_fract_x
_atom_site_fract_y
_atom_site_fract_z
Ba1 Ba 0.0008 0.1511 0.3640
Ba2 Ba 0.3062 0.6548 0.4139
In1 In 0.1910 0.1808 0.1245
In2 In 0.4952 0.1147 0.3371
F1 F 0.0041 0.5140 0.6064
F2 F 0.0321 0.1979 0.7071
F3 F 0.0377 0.1723 0.5358
F4 F 0.3049 0.5035 0.9032
F5 F 0.3090 0.6535 0.2428
F6 F 0.3139 0.6963 0.0693
F7 F 0.3225 0.0454 0.2277
F8 F 0.3355 0.1728 0.8499
F9 F 0.3528 0.0790 0.0397
F10 F 0.4010 0.1419 0.6470
```

Properties
**Calculated density**: 4.8 g/cm3
**Energy above the lowest structure with this stoichiometry**: 0 meV/atom
**Calculated volume**: 17.092 A^3/atom
**Energy**: -0.18878 hartree per atom

Record 6
Material: Ba2InF
Method: DFT, PBE
State: optimized geometry

Geometry as CIF:
```
data_Ba2InF
_chemical_formula_sum 'Ba2 In1 F1'
_cell_length_a 3.7424
_cell_length_b 3.7424
_cell_length_c 8.7303
_cell_angle_alpha 90.00
_cell_angle_beta 90.00
_cell_angle_gamma 90.00
_space_group_name_H-M_alt 'P 4/m m m'
_space_group_IT_number 123
_space_group_name_Hall '-P 4 2'
loop_
_atom_site_label
_atom_site_type_symbol
_atom_site_fract_x
_atom_site_fract_y
_atom_site_fract_z
Ba1 Ba 0.0000 0.0000 0.2214
In1 In 0.5000 0.5000 0.5000
F1 F 0.5000 0.5000 0.0000
```

Properties
**Calculated density**: 5.5 g/cm3
**Energy above the lowest structure with this stoichiometry**: 156 meV/atom
**Calculated volume**: 30.567 A^3/atom
**Energy**: -0.12646 hartree per atom

Record 7
Material: Ba3In2F12
Method: DFT, PBE
State: optimized geometry

Geometry as CIF:
```
data_Ba3In2F12
_chemical_formula_sum 'Ba6 In4 F24'
_cell_length_a 9.7256
_cell_length_b 9.7256
_cell_length_c 5.7184
_cell_angle_alpha 90.00
_cell_angle_beta 90.00
_cell_angle_gamma 90.00
_space_group_name_H-M_alt 'P 4/m b m'
_space_group_IT_number 127
_space_group_name_Hall '-P 4 2ab'
loop_
_atom_site_label
_atom_site_type_symbol
_atom_site_fract_x
_atom_site_fract_y
_atom_site_fract_z
Ba1 Ba 0.0000 0.0000 0.0000
Ba2 Ba 0.1793 0.3207 0.5000
In1 In 0.1331 0.6331 0.0000
F1 F 0.0000 0.5000 0.2222
F2 F 0.0552 0.7737 0.2573
F3 F 0.2082 0.2918 0.0000
```

Properties
**Calculated density**: 5.3 g/cm3
**Calculated volume**: 15.908 A^3/atom
**Energy**: -0.19317 hartree per atom

Record 8
Material: BaIn2F7
Method: DFT, PBE
State: optimized geometry

Geometry as CIF:
```
data_BaIn2F7
_chemical_formula_sum 'Ba2 In4 F14'
_cell_length_a 7.1484
_cell_length_b 11.0216
_cell_length_c 4.2579
_cell_angle_alpha 90.00
_cell_angle_beta 90.00
_cell_angle_gamma 90.00
_space_group_name_H-M_alt 'C m m m'
_space_group_IT_number 65
_space_group_name_Hall '-C 2 2'
loop_
_atom_site_label
_atom_site_type_symbol
_atom_site_fract_x
_atom_site_fract_y
_atom_site_fract_z
Ba1 Ba 0.0000 0.0000 0.0000
In1 In 0.0000 0.3055 0.5000
F1 F 0.0000 0.2667 0.0000
F2 F 0.0000 0.5000 0.5000
F3 F 0.1848 0.1349 0.5000
```

Properties
**Calculated density**: 4.9 g/cm3
**Calculated volume**: 16.773 A^3/atom
**Energy**: -0.17678 hartree per atom

Record 9
Material: Ba2InF8
Method: DFT, PBE
State: optimized geometry

Geometry as CIF:
```
data_Ba2InF8
_chemical_formula_sum 'Ba2 In1 F8'
_cell_length_a 4.6083
_cell_length_b 5.4964
_cell_length_c 7.7246
_cell_angle_alpha 107.08
_cell_angle_beta 104.30
_cell_angle_gamma 95.80
_space_group_name_H-M_alt 'P -1'
_space_group_IT_number 2
_space_group_name_Hall '-P 1'
loop_
_atom_site_label
_atom_site_type_symbol
_atom_site_fract_x
_atom_site_fract_y
_atom_site_fract_z
Ba1 Ba 0.1757 0.1533 0.3217
In1 In 0.5000 0.5000 0.0000
F1 F 0.0863 0.2718 0.9848
F2 F 0.2263 0.6927 0.4524
F3 F 0.3490 0.7070 0.8164
F4 F 0.4312 0.1923 0.7392
```

Properties
**Calculated density**: 5.1 g/cm3
**Energy above the lowest structure with this stoichiometry**: 0 meV/atom
**Calculated volume**: 16.184 A^3/atom
**Energy**: -0.18208 hartree per atom

Record 10
Material: BaInF2
Method: DFT, PBE
State: optimized geometry

Geometry as CIF:
```
data_BaInF2
_chemical_formula_sum 'Ba3 In3 F6'
_cell_length_a 4.2511
_cell_length_b 4.2511
_cell_length_c 21.8602
_cell_angle_alpha 90.00
_cell_angle_beta 90.00
_cell_angle_gamma 120.00
_space_group_name_H-M_alt 'R -3 m'
_space_group_IT_number 166
_space_group_name_Hall '-R 3 2"'
loop_
_atom_site_label
_atom_site_type_symbol
_atom_site_fract_x
_atom_site_fract_y
_atom_site_fract_z
Ba1 Ba 0.0000 0.0000 0.0000
In1 In 0.0000 0.0000 0.5000
F1 F 0.0000 0.0000 0.3763
```

Properties
**Calculated density**: 4.2 g/cm3
**Energy above the lowest structure with this stoichiometry**: 0 meV/atom
**Calculated volume**: 28.511 A^3/atom
**Energy**: -0.17149 hartree per atom

Record 11
Material: BaInF2
Method: DFT, PBE
State: optimized geometry

Geometry as CIF:
```
data_BaInF2
_chemical_formula_sum 'Ba3 In3 F6'
_cell_length_a 4.1190
_cell_length_b 4.1190
_cell_length_c 24.5923
_cell_angle_alpha 90.00
_cell_angle_beta 90.00
_cell_angle_gamma 120.00
_space_group_name_H-M_alt 'R -3 m'
_space_group_IT_number 166
_space_group_name_Hall '-R 3 2"'
loop_
_atom_site_label
_atom_site_type_symbol
_atom_site_fract_x
_atom_site_fract_y
_atom_site_fract_z
Ba1 Ba 0.0000 0.0000 0.0000
In1 In 0.0000 0.0000 0.5000
F1 F 0.0000 0.0000 0.2904
```

Properties
**Calculated density**: 4.0 g/cm3
**Energy above the lowest structure with this stoichiometry**: 74 meV/atom
**Calculated volume**: 30.111 A^3/atom
**Energy**: -0.16879 hartree per atom

Record 12
Material: Ba12In3F5
Method: DFT, PBE
State: optimized geometry

Geometry as CIF:
```
data_Ba12In3F5
_chemical_formula_sum 'Ba96 In24 F40'
_cell_length_a 18.4828
_cell_length_b 18.4828
_cell_length_c 18.4828
_cell_angle_alpha 90.00
_cell_angle_beta 90.00
_cell_angle_gamma 90.00
_space_group_name_H-M_alt 'I a -3 d'
_space_group_IT_number 230
_space_group_name_Hall '-I 4bd 2c 3'
loop_
_atom_site_label
_atom_site_type_symbol
_atom_site_fract_x
_atom_site_fract_y
_atom_site_fract_z
Ba1 Ba 0.0347 0.0561 0.6527
In1 In 0.0000 0.2500 0.1250
F1 F 0.0000 0.0000 0.0000
F2 F 0.0000 0.2500 0.3750
```

Properties
**Calculated density**: 4.4 g/cm3
**Calculated volume**: 39.462 A^3/atom
**Energy**: -0.12922 hartree per atom

Record 13
Material: Ba2InF
Method: DFT, PBE
State: optimized geometry

Geometry as CIF:
```
data_Ba2InF
_chemical_formula_sum 'Ba8 In4 F4'
_cell_length_a 8.2905
_cell_length_b 8.2905
_cell_length_c 8.2905
_cell_angle_alpha 90.00
_cell_angle_beta 90.00
_cell_angle_gamma 90.00
_space_group_name_H-M_alt 'F m -3 m'
_space_group_IT_number 225
_space_group_name_Hall '-F 4 2 3'
loop_
_atom_site_label
_atom_site_type_symbol
_atom_site_fract_x
_atom_site_fract_y
_atom_site_fract_z
Ba1 Ba 0.2500 0.2500 0.2500
In1 In 0.0000 0.0000 0.0000
F1 F 0.0000 0.0000 0.5000
```

Properties
**Calculated density**: 4.8 g/cm3
**Energy above the lowest structure with this stoichiometry**: 412 meV/atom
**Calculated volume**: 35.614 A^3/atom
**Energy**: -0.11705 hartree per atom

Record 14
Material: BaInF5
Method: DFT, PBE
State: optimized geometry

Geometry as CIF:
```
data_BaInF5
_chemical_formula_sum 'Ba2 In2 F10'
_cell_length_a 4.3401
_cell_length_b 7.3474
_cell_length_c 9.2176
_cell_angle_alpha 90.00
_cell_angle_beta 90.00
_cell_angle_gamma 90.00
_space_group_name_H-M_alt 'I m m m'
_space_group_IT_number 71
_space_group_name_Hall '-I 2 2'
loop_
_atom_site_label
_atom_site_type_symbol
_atom_site_fract_x
_atom_site_fract_y
_atom_site_fract_z
Ba1 Ba 0.0000 0.0000 0.0000
In1 In 0.0000 0.0000 0.5000
F1 F 0.0000 0.0000 0.2773
F2 F 0.0000 0.2889 0.5000
F3 F 0.0000 0.5000 0.0000
```

Properties
**Calculated density**: 3.9 g/cm3
**Energy above the lowest structure with this stoichiometry**: 26 meV/atom
**Calculated volume**: 20.995 A^3/atom
**Energy**: -0.18781 hartree per atom

Record 15
Material: Ba2InF
Method: DFT, PBE
State: optimized geometry

Geometry as CIF:
```
data_Ba2InF
_chemical_formula_sum 'Ba8 In4 F4'
_cell_length_a 8.0790
_cell_length_b 8.0790
_cell_length_c 9.1411
_cell_angle_alpha 90.00
_cell_angle_beta 90.00
_cell_angle_gamma 90.00
_space_group_name_H-M_alt 'I -4 2 d'
_space_group_IT_number 122
_space_group_name_Hall 'I -4 2bw'
loop_
_atom_site_label
_atom_site_type_symbol
_atom_site_fract_x
_atom_site_fract_y
_atom_site_fract_z
Ba1 Ba 0.1638 0.2500 0.1250
In1 In 0.0000 0.0000 0.5000
F1 F 0.0000 0.0000 0.0000
```

Properties
**Calculated density**: 4.5 g/cm3
**Energy above the lowest structure with this stoichiometry**: 0 meV/atom
**Calculated volume**: 37.290 A^3/atom
**Energy**: -0.13218 hartree per atom

Record 16
Material: Ba3InF
Method: DFT, PBE
State: optimized geometry

Geometry as CIF:
```
data_Ba3InF
_chemical_formula_sum 'Ba6 In2 F2'
_cell_length_a 8.0253
_cell_length_b 5.3588
_cell_length_c 9.8318
_cell_angle_alpha 90.00
_cell_angle_beta 105.87
_cell_angle_gamma 90.00
_space_group_name_H-M_alt 'P 1 21/m 1'
_space_group_IT_number 11
_space_group_name_Hall '-P 2yb'
loop_
_atom_site_label
_atom_site_type_symbol
_atom_site_fract_x
_atom_site_fract_y
_atom_site_fract_z
Ba1 Ba 0.1061 0.2500 0.2296
Ba2 Ba 0.3135 0.7500 0.5701
Ba3 Ba 0.3456 0.7500 0.0429
In1 In 0.1794 0.2500 0.8035
F1 F 0.3700 0.2500 0.4541
```

Properties
**Calculated density**: 4.5 g/cm3
**Energy above the lowest structure with this stoichiometry**: 4 meV/atom
**Calculated volume**: 40.670 A^3/atom
**Energy**: -0.12163 hartree per atom

Record 17
Material: Ba2InF
Method: DFT, PBE
State: optimized geometry

Geometry as CIF:
```
data_Ba2InF
_chemical_formula_sum 'Ba6 In3 F3'
_cell_length_a 4.4285
_cell_length_b 4.4285
_cell_length_c 24.2805
_cell_angle_alpha 90.00
_cell_angle_beta 90.00
_cell_angle_gamma 120.00
_space_group_name_H-M_alt 'R -3 m'
_space_group_IT_number 166
_space_group_name_Hall '-R 3 2"'
loop_
_atom_site_label
_atom_site_type_symbol
_atom_site_fract_x
_atom_site_fract_y
_atom_site_fract_z
Ba1 Ba 0.0000 0.0000 0.2339
In1 In 0.0000 0.0000 0.0000
F1 F 0.0000 0.0000 0.5000
```

Properties
**Calculated density**: 4.9 g/cm3
**Energy above the lowest structure with this stoichiometry**: 76 meV/atom
**Calculated volume**: 34.365 A^3/atom
**Energy**: -0.12940 hartree per atom

Record 18
Material: Ba3InF
Method: DFT, PBE
State: optimized geometry

Geometry as CIF:
```
data_Ba3InF
_chemical_formula_sum 'Ba3 In1 F1'
_cell_length_a 5.6282
_cell_length_b 5.6282
_cell_length_c 5.6282
_cell_angle_alpha 90.00
_cell_angle_beta 90.00
_cell_angle_gamma 90.00
_space_group_name_H-M_alt 'P m -3 m'
_space_group_IT_number 221
_space_group_name_Hall '-P 4 2 3'
loop_
_atom_site_label
_atom_site_type_symbol
_atom_site_fract_x
_atom_site_fract_y
_atom_site_fract_z
Ba1 Ba 0.0000 0.0000 0.5000
In1 In 0.5000 0.5000 0.5000
F1 F 0.0000 0.0000 0.0000
```

Properties
**Calculated density**: 5.1 g/cm3
**Energy above the lowest structure with this stoichiometry**: 0 meV/atom
**Calculated volume**: 35.657 A^3/atom
**Energy**: -0.12177 hartree per atom